#1
## UZnPt4 (PBE)

Data for UZnPt4 after structural relaxation.

Cell: 7.5504 7.5504 7.5504 Å, 90.00 90.00 90.00°
Space group F-43m (No. 216)
One atom of each set of equivalent atoms:
U 0.0000 0.0000 0.0000 x4
Zn 0.2500 0.2500 0.7500 x4
Pt 0.1243 0.1243 0.3757 x16

Magnetic moment: 0.3210 μB per atom

---

#2
## UZnPt4 (PBE)

Data for UZnPt4 after structural relaxation.

Cell: 3.9573 3.9573 7.3757 Å, 90.00 90.00 90.00°
Space group P4/mmm (No. 123)
One atom of each set of equivalent atoms:
U 0.0000 0.0000 0.0000 x1
Zn 0.5000 0.5000 0.5000 x1
Pt 0.0000 0.5000 0.2649 x4

Magnetic moment: 0.1574 μB per atom

---

Most stable: #1. Least stable: #2.

---

#1
## Zr2UPt (PBE)

Data for Zr2UPt after structural relaxation.

Cell: 6.8530 6.8530 6.8530 Å, 90.00 90.00 90.00°
Space group Fm-3m (No. 225)
One atom of each set of equivalent atoms:
Zr 0.2500 0.2500 0.2500 x8
U 0.0000 0.0000 0.0000 x4
Pt 0.0000 0.0000 0.5000 x4

Magnetic moment: 0.7045 μB per atom

---

#2
## Zr2UPt (PBE)

Data for Zr2UPt after structural relaxation.

Cell: 5.0873 5.0873 3.0833 Å, 90.00 90.00 90.00°
Space group P4/mmm (No. 123)
One atom of each set of equivalent atoms:
Zr 0.0000 0.5000 0.0000 x2
U 0.0000 0.0000 0.5000 x1
Pt 0.5000 0.5000 0.5000 x1

Magnetic moment: 0.2952 μB per atom

---

Most stable: #2. Least stable: #1.

---

#1
## V8Pt (PBE)

Data for V8Pt after structural relaxation.

Cell: 7.5462 7.5462 4.3932 Å, 90.00 90.00 90.00°
Space group I4/mmm (No. 139)
One atom of each set of equivalent atoms:
V 0.0000 0.3385 0.0000 x8
V 0.1666 0.1666 0.5000 x8
Pt 0.0000 0.0000 0.0000 x2

Magnetic moment: 0.0000 μB per atom

---

#2
## V8Pt (PBE)

Data for V8Pt after structural relaxation.

Cell: 8.9493 8.9493 3.0623 Å, 90.00 90.00 90.00°
Space group I4/mmm (No. 139)
One atom of each set of equivalent atoms:
V 0.0000 0.3340 0.0000 x8
V 0.1711 0.1711 0.5000 x8
Pt 0.0000 0.0000 0.0000 x2

Magnetic moment: 0.0000 μB per atom

---

Most stable: #2. Least stable: #1.

---

#1
## V5Pt (PBE)

Data for V5Pt after structural relaxation.

Cell: 4.3446 12.4436 3.0430 Å, 90.00 90.00 90.00°
Space group Cmmm (No. 65)
One atom of each set of equivalent atoms:
V 0.0000 0.0000 0.0000 x2
V 0.0000 0.1647 0.5000 x4
V 0.0000 0.3250 0.0000 x4
Pt 0.0000 0.5000 0.5000 x2

Magnetic moment: 0.0000 μB per atom

---

#2
## V5Pt (PBE)

Data for V5Pt after structural relaxation.

Cell: 9.4416 3.0746 5.9678 Å, 90.00 108.37 90.00°
Space group C2/m (No. 12)
One atom of each set of equivalent atoms:
V 0.0000 0.0000 0.0000 x2
V 0.1679 0.5000 0.8430 x4
V 0.1731 0.5000 0.3277 x4
Pt 0.0000 0.0000 0.5000 x2

Magnetic moment: 0.0000 μB per atom

---

Most stable: #2. Least stable: #1.

---

#1
## VPtW2 (PBE)

Data for VPtW2 after structural relaxation.

Cell: 6.2799 6.2799 6.2799 Å, 90.00 90.00 90.00°
Space group Fm-3m (No. 225)
One atom of each set of equivalent atoms:
V 0.0000 0.0000 0.0000 x4
Pt 0.0000 0.0000 0.5000 x4
W 0.2500 0.2500 0.2500 x8

Magnetic moment: 0.0001 μB per atom

---

#2
## VPtW2 (PBE)

Data for VPtW2 after structural relaxation.

Cell: 3.7449 3.7449 19.1764 Å, 90.00 90.00 90.00°
Space group I-42d (No. 122)
One atom of each set of equivalent atoms:
V 0.0000 0.0000 0.0000 x4
Pt 0.0000 0.0000 0.5000 x4
W 0.2371 0.2500 0.1250 x8

Magnetic moment: 0.2562 μB per atom

---

#3
## VPtW2 (PBE)

Data for VPtW2 after structural relaxation.

Cell: 3.8688 3.8688 4.0954 Å, 90.00 90.00 90.00°
Space group P4/mmm (No. 123)
One atom of each set of equivalent atoms:
V 0.0000 0.0000 0.0000 x1
Pt 0.5000 0.5000 0.0000 x1
W 0.0000 0.5000 0.5000 x2

Magnetic moment: 0.0001 μB per atom

---

Most stable: #3. Least stable: #2.

---

#1
## VPt2W (PBE)

Data for VPt2W after structural relaxation.

Cell: 7.0288 7.0288 5.3317 Å, 90.00 90.00 90.00°
Space group I-42d (No. 122)
One atom of each set of equivalent atoms:
V 0.0000 0.0000 0.0000 x4
Pt 0.2393 0.7500 0.1250 x8
W 0.0000 0.0000 0.5000 x4

Magnetic moment: 0.0013 μB per atom

---

#2
## VPt2W (PBE)

Data for VPt2W after structural relaxation.

Cell: 5.4295 8.1045 2.7261 Å, 90.00 90.00 90.00°
Space group Cmmm (No. 65)
One atom of each set of equivalent atoms:
V 0.0000 0.0000 0.0000 x2
Pt 0.2500 0.2500 0.5000 x4
W 0.0000 0.5000 0.0000 x2

Magnetic moment: 0.0266 μB per atom

---

#3
## VPt2W (PBE)

Data for VPt2W after structural relaxation.

Cell: 6.3194 6.3194 6.3194 Å, 90.00 90.00 90.00°
Space group Fm-3m (No. 225)
One atom of each set of equivalent atoms:
V 0.0000 0.0000 0.0000 x4
Pt 0.2500 0.2500 0.2500 x8
W 0.0000 0.0000 0.5000 x4

Magnetic moment: 0.6014 μB per atom

---

Most stable: #2. Least stable: #1.

---

#1
## YVPt6 (PBE)

Data for YVPt6 after structural relaxation.

Cell: 3.8486 3.8486 9.9198 Å, 90.00 90.00 90.00°
Space group P4/mmm (No. 123)
One atom of each set of equivalent atoms:
Y 0.0000 0.0000 0.0000 x1
V 0.0000 0.0000 0.5000 x1
Pt 0.0000 0.5000 0.3323 x4
Pt 0.5000 0.5000 0.1288 x2

Magnetic moment: 0.0000 μB per atom

---

#2
## YVPt6 (PBE)

Data for YVPt6 after structural relaxation.

Cell: 4.0188 4.0188 8.0792 Å, 90.00 90.00 90.00°
Space group P4/mmm (No. 123)
One atom of each set of equivalent atoms:
Y 0.0000 0.0000 0.0000 x1
V 0.0000 0.0000 0.5000 x1
Pt 0.0000 0.5000 0.2683 x4
Pt 0.5000 0.5000 0.0000 x1
Pt 0.5000 0.5000 0.5000 x1

Magnetic moment: 0.0930 μB per atom

---

Most stable: #2. Least stable: #1.

---

#1
## V3ZnPt (PBE)

Data for V3ZnPt after structural relaxation.

Cell: 4.3987 4.3987 4.3987 Å, 90.00 90.00 90.00°
Space group Pm-3m (No. 221)
One atom of each set of equivalent atoms:
V 0.0000 0.0000 0.5000 x3
Zn 0.0000 0.0000 0.0000 x1
Pt 0.5000 0.5000 0.5000 x1

Magnetic moment: 0.5390 μB per atom

---

#2
## V3ZnPt (PBE)

Data for V3ZnPt after structural relaxation.

Cell: 4.6482 4.6482 4.6482 Å, 90.00 90.00 90.00°
Space group Pm-3m (No. 221)
One atom of each set of equivalent atoms:
V 0.0000 0.0000 0.5000 x3
Zn 0.5000 0.5000 0.5000 x1
Pt 0.0000 0.0000 0.0000 x1

Magnetic moment: 0.0005 μB per atom

---

Most stable: #2. Least stable: #1.